Here is a relaxed BiMoO5 crystal from Alexandria. Energies are from PBE with a Hubbard U.

VASP energy (eV/f.u.): -43.78

abc: 5.530 10.912 9.432
angles: 90.00 115.61 90.00
Space group P2_1/c (No. 14)
Inequivalent atoms, fractional coordinates:
Bi (0.032, 0.096, 0.348)
Mo (0.190, 0.114, 0.961)
O (0.108, 0.696, 0.666)
O (0.159, 0.058, 0.136)
O (0.169, 0.565, 0.001)
O (0.296, 0.007, 0.844)
O (0.409, 0.241, 0.016)